(1)
First-principles (PBE) data for crystalline FeHg2As at its relaxed geometry, as listed in the Alexandria database. Values from VASP.

Results
ΔH_f (0 K) ... 0.449 eV/atom
VASP energy ... -2.98 eV per atom
M_tot ... 2.88 μB per cell

```
&SYSTEM
  ibrav = 0, nat = 4, ntyp = 3
/
ATOMIC_SPECIES
Fe 55.84 Fe.upf
Hg 200.59 Hg.upf
As 74.92 As.upf
CELL_PARAMETERS angstrom
2.9682 0.0000 0.0000
0.0000 2.9682 0.0000
0.0000 0.0000 8.8826
ATOMIC_POSITIONS angstrom
Fe 0.0000 0.0000 0.0000
Hg 1.4841 1.4841 1.9398
Hg 1.4841 1.4841 6.9429
As 0.0000 0.0000 4.4413
```



(2)
First-principles (PBE) data for crystalline ErTh3Pb12 at its relaxed geometry, as listed in the Alexandria database. Values from VASP.

Results
ΔH_f (0 K) ... -0.236 eV/atom
VASP energy ... -4.69 eV per atom
M_tot ... 0.00 μB per cell

```
&SYSTEM
  ibrav = 0, nat = 16, ntyp = 3
/
ATOMIC_SPECIES
Er 167.26 Er.upf
Th 232.04 Th.upf
Pb 207.20 Pb.upf
CELL_PARAMETERS angstrom
4.9498 0.0000 0.0000
0.0000 4.9498 0.0000
0.0000 0.0000 19.1630
ATOMIC_POSITIONS angstrom
Er 0.0000 0.0000 0.0000
Th 0.0000 0.0000 4.8018
Th 0.0000 0.0000 9.5815
Th 0.0000 0.0000 14.3612
Pb 0.0000 2.4749 2.3343
Pb 0.0000 2.4749 7.1726
Pb 0.0000 2.4749 11.9904
Pb 0.0000 2.4749 16.8287
Pb 2.4749 0.0000 2.3343
Pb 2.4749 0.0000 7.1726
Pb 2.4749 0.0000 11.9904
Pb 2.4749 0.0000 16.8287
Pb 2.4749 2.4749 0.0000
Pb 2.4749 2.4749 4.7456
Pb 2.4749 2.4749 9.5815
Pb 2.4749 2.4749 14.4175
```



(3)
First-principles (PBE) data for crystalline MgBeHS at its relaxed geometry, as listed in the Alexandria database. Values from VASP.

Results
E above lowest polymorph ... 151 meV/atom
VASP energy ... -3.43 eV per atom
M_tot ... 0.00 μB per cell

```
&SYSTEM
  ibrav = 0, nat = 4, ntyp = 4
/
ATOMIC_SPECIES
Mg 24.30 Mg.upf
Be 9.01 Be.upf
H 1.01 H.upf
S 32.06 S.upf
CELL_PARAMETERS angstrom
3.7050 0.0000 0.0000
1.8310 3.3538 0.0000
1.7870 0.6102 5.1369
ATOMIC_POSITIONS angstrom
Mg 0.0000 0.0000 0.0000
Be 3.6766 2.1567 2.0537
H 3.6663 3.2269 1.1510
S 3.6418 1.7922 3.9494
```



(4)
First-principles (PBE) data for crystalline CrCd4Co at its relaxed geometry, as listed in the Alexandria database. Values from VASP.

Results
ΔH_f (0 K) ... 0.596 eV/atom
VASP energy ... -2.80 eV per atom
M_tot ... 5.44 μB per cell

```
&SYSTEM
  ibrav = 0, nat = 6, ntyp = 3
/
ATOMIC_SPECIES
Cr 52.00 Cr.upf
Cd 112.41 Cd.upf
Co 58.93 Co.upf
CELL_PARAMETERS angstrom
0.0000 3.9145 3.9145
3.9145 0.0000 3.9145
3.9145 3.9145 0.0000
ATOMIC_POSITIONS angstrom
Cr 0.0000 0.0000 0.0000
Cd 4.8914 2.9377 2.9377
Cd 2.9377 4.8914 2.9377
Cd 2.9377 2.9377 4.8914
Cd 4.8914 4.8914 4.8914
Co 1.9573 1.9573 1.9573
```



(5)
First-principles (PBE) data for crystalline TcBr at its relaxed geometry, as listed in the Alexandria database. Values from VASP.

Results
E above lowest polymorph ... 858 meV/atom
Formation energy from raw total energies ... 901 meV per atom
VASP energy ... -5.12 eV per atom
M_tot ... 0.00 μB per cell

```
&SYSTEM
  ibrav = 0, nat = 4, ntyp = 2
/
ATOMIC_SPECIES
Tc 98.00 Tc.upf
Br 79.90 Br.upf
CELL_PARAMETERS angstrom
3.0777 0.0000 0.0000
-1.5388 2.6654 0.0000
0.0000 0.0000 8.2108
ATOMIC_POSITIONS angstrom
Tc 0.0000 1.7769 2.0527
Tc 1.5388 0.8885 6.1581
Br 0.0000 0.0000 0.0000
Br 0.0000 0.0000 4.1054
```



(6)
First-principles (PBE) data for crystalline Np3Tl5Cl12 at its relaxed geometry, as listed in the Alexandria database. Values from VASP.

Results
Formation energy from raw total energies ... -1088 meV per atom
VASP energy ... -4.73 eV per atom
M_tot ... 56.00 μB per cell

```
&SYSTEM
  ibrav = 0, nat = 80, ntyp = 3
/
ATOMIC_SPECIES
Np 237.00 Np.upf
Tl 204.38 Tl.upf
Cl 35.45 Cl.upf
CELL_PARAMETERS angstrom
-8.8248 8.8248 8.8248
8.8248 -8.8248 8.8248
8.8248 8.8248 -8.8248
ATOMIC_POSITIONS angstrom
Np 4.4124 2.2062 0.0000
Np 8.8248 4.4124 -2.2062
Np 2.2062 0.0000 4.4124
Np 11.0310 0.0000 4.4124
Np 0.0000 4.4124 2.2062
Np 4.4124 -2.2062 8.8248
Np 4.4124 11.0310 0.0000
Np 8.8248 4.4124 6.6186
Np -2.2062 8.8248 4.4124
Np 6.6186 8.8248 4.4124
Np 0.0000 4.4124 11.0310
Np 4.4124 6.6186 8.8248
Tl 0.0000 0.0000 0.0000
Tl 4.4124 4.4124 -4.4124
Tl 4.4124 -4.4124 4.4124
Tl 8.8248 0.0000 0.0000
Tl 13.2371 2.2062 0.0000
Tl 8.8248 -4.4124 6.6186
Tl 6.6186 8.8248 -4.4124
Tl 6.6186 0.0000 4.4124
Tl 4.4124 6.6186 0.0000
Tl 8.8248 4.4124 2.2062
Tl -4.4124 4.4124 4.4124
Tl 0.0000 8.8248 0.0000
Tl 0.0000 0.0000 8.8248
Tl 4.4124 4.4124 4.4124
Tl 0.0000 4.4124 6.6186
Tl 4.4124 2.2062 8.8248
Tl 2.2062 8.8248 4.4124
Tl 2.2062 0.0000 13.2371
Tl 0.0000 13.2371 2.2062
Tl -4.4124 6.6186 8.8248
Cl 8.4783 -1.6090 2.6586
Cl 13.5836 -1.7538 2.8034
Cl 2.6586 -0.3464 1.6090
Cl 10.5786 6.0213 -4.7588
Cl 11.4833 0.3464 1.6090
Cl 10.5786 -2.8034 4.7588
Cl 1.6090 2.6586 -0.3464
Cl 11.6282 4.0660 -1.7538
Cl 6.0213 4.7588 -1.7538
Cl 7.2158 2.6586 0.3464
Cl -0.3464 1.6090 2.6586
Cl 4.7588 -1.7538 6.0213
Cl 8.4783 7.2158 -2.6586
Cl 4.7588 1.7538 2.8034
Cl 7.2158 -2.6586 8.4783
Cl 6.0213 -4.7588 10.5786
Cl 2.8034 4.7588 1.7538
Cl 10.4337 6.1662 0.3464
Cl 2.6586 8.4783 -1.6090
Cl 10.5786 2.8034 4.0660
Cl 1.7538 2.8034 4.7588
Cl 2.6586 0.3464 7.2158
Cl 4.7588 10.5786 -2.8034
Cl 8.4783 1.6090 6.1662
Cl 0.3464 7.2158 2.6586
Cl 4.0660 -1.7538 11.6282
Cl 6.1662 8.4783 1.6090
Cl 7.0709 6.0213 4.0660
Cl -1.7538 6.0213 4.7588
Cl 6.1662 0.3464 10.4337
Cl -1.6090 2.6586 8.4783
Cl 6.0213 4.0660 7.0709
Cl 2.8034 13.5836 -1.7538
Cl 1.6090 11.4833 0.3464
Cl 4.0660 7.0709 6.0213
Cl 0.3464 1.6090 11.4833
Cl 4.0660 10.5786 2.8034
Cl 9.1712 7.2158 6.1662
Cl 1.6090 6.1662 8.4783
Cl 2.8034 4.0660 10.5786
Cl -2.8034 4.7588 10.5786
Cl 7.2158 6.1662 9.1712
Cl -1.7538 11.6282 4.0660
Cl -2.6586 8.4783 7.2158
Cl -1.7538 2.8034 13.5836
Cl 6.1662 9.1712 7.2158
Cl -4.7588 10.5786 6.0213
Cl 0.3464 10.4337 6.1662
```